[1]
DFT (PBE) results for a relaxed structure of Sr3CrBr.

a = 5.984 Å, b = 5.984 Å, c = 5.984 Å
α = 90.00°, β = 90.00°, γ = 90.00°
Atoms (fractional coordinates):
Sr (0.000, 0.500, 0.000)
Sr (0.000, 0.000, 0.500)
Sr (0.500, 0.000, 0.000)
Br (0.000, 0.000, 0.000)
Cr (0.500, 0.500, 0.500)

Computed properties:
ΔE to the lowest computed polymorph in eV per atom: 0.000
Symmetry: Pm-3m (221)
Total DFT energy (no corrections) in eV/atom: -3.217



[2]
DFT (PBE) results for a relaxed structure of Sr4CrBr.

a = 7.491 Å, b = 7.491 Å, c = 7.491 Å
α = 60.00°, β = 60.00°, γ = 60.00°
Atoms (fractional coordinates):
Sr (0.878, 0.374, 0.374)
Sr (0.374, 0.374, 0.878)
Sr (0.374, 0.878, 0.374)
Sr (0.374, 0.374, 0.374)
Cr (0.000, 0.000, 0.000)
Br (0.750, 0.750, 0.750)

Computed properties:
Symmetry: F-43m (216)
Total DFT energy (no corrections) in eV/atom: -2.523



[3]
DFT (PBE) results for a relaxed structure of SrCrBr3.

a = 5.330 Å, b = 5.330 Å, c = 5.330 Å
α = 90.00°, β = 90.00°, γ = 90.00°
Atoms (fractional coordinates):
Sr (0.500, 0.500, 0.500)
Cr (0.000, 0.000, 0.000)
Br (0.000, 0.500, 0.000)
Br (0.000, 0.000, 0.500)
Br (0.500, 0.000, 0.000)

Computed properties:
ΔE to the lowest computed polymorph in eV per atom: 0.000
Symmetry: Pm-3m (221)
Total DFT energy (no corrections) in eV/atom: -4.240



[4]
DFT (PBE) results for a relaxed structure of SrCrBr.

a = 5.449 Å, b = 5.449 Å, c = 5.449 Å
α = 60.00°, β = 60.00°, γ = 60.00°
Atoms (fractional coordinates):
Br (0.000, 0.000, 0.000)
Cr (0.500, 0.500, 0.500)
Sr (0.750, 0.750, 0.750)

Computed properties:
ΔE to the lowest computed polymorph in eV per atom: 0.219
Symmetry: F-43m (216)
Total DFT energy (no corrections) in eV/atom: -4.231



[5]
DFT (PBE) results for a relaxed structure of Sr2CrBr.

a = 6.442 Å, b = 6.442 Å, c = 6.442 Å
α = 139.48°, β = 116.13°, γ = 78.43°
Atoms (fractional coordinates):
Br (0.750, 0.250, 0.500)
Cr (0.250, 0.750, 0.500)
Sr (0.973, 0.973, 0.000)
Sr (0.527, 0.527, 0.000)

Computed properties:
ΔE to the lowest computed polymorph in eV per atom: 0.188
Symmetry: Immm (71)
Total DFT energy (no corrections) in eV/atom: -3.773



[6]
DFT (PBE) results for a relaxed structure of SrCrBr.

a = 7.294 Å, b = 7.294 Å, c = 3.813 Å
α = 74.85°, β = 74.84°, γ = 30.31°
Atoms (fractional coordinates):
Br (0.974, 0.974, 0.026)
Cr (0.680, 0.680, 0.320)
Sr (0.347, 0.347, 0.653)

Computed properties:
ΔE to the lowest computed polymorph in eV per atom: 0.000
Symmetry: I4mm (107)
Total DFT energy (no corrections) in eV/atom: -4.451



[7]
DFT (PBE) results for a relaxed structure of Sr2CrBr.

a = 4.263 Å, b = 4.263 Å, c = 9.375 Å
α = 76.87°, β = 76.87°, γ = 59.82°
Atoms (fractional coordinates):
Br (0.250, 0.250, 0.250)
Cr (0.750, 0.750, 0.750)
Sr (0.001, 0.001, 0.995)
Sr (0.499, 0.499, 0.505)

Computed properties:
ΔE to the lowest computed polymorph in eV per atom: 0.030
Symmetry: C2/m (12)
Total DFT energy (no corrections) in eV/atom: -3.931



[8]
DFT (PBE) results for a relaxed structure of SrCrBr3.

a = 5.912 Å, b = 5.912 Å, c = 5.912 Å
α = 90.00°, β = 90.00°, γ = 90.00°
Atoms (fractional coordinates):
Sr (0.000, 0.000, 0.000)
Cr (0.500, 0.500, 0.500)
Br (0.000, 0.500, 0.000)
Br (0.000, 0.000, 0.500)
Br (0.500, 0.000, 0.000)

Computed properties:
ΔE to the lowest computed polymorph in eV per atom: 0.224
Symmetry: Pm-3m (221)
Total DFT energy (no corrections) in eV/atom: -4.015



Copy entry 5 word for word.
DFT (PBE) results for a relaxed structure of Sr2CrBr.

a = 6.442 Å, b = 6.442 Å, c = 6.442 Å
α = 139.48°, β = 116.13°, γ = 78.43°
Atoms (fractional coordinates):
Br (0.750, 0.250, 0.500)
Cr (0.250, 0.750, 0.500)
Sr (0.973, 0.973, 0.000)
Sr (0.527, 0.527, 0.000)

Computed properties:
ΔE to the lowest computed polymorph in eV per atom: 0.188
Symmetry: Immm (71)
Total DFT energy (no corrections) in eV/atom: -3.773